Computed, not measured: TbDy3Tm7 after structural relaxation at the PBE level of DFT.

Structure (POSCAR):
```
TbDy3Tm7
1.0
4.6132 -0.0953 -2.8837
-1.0419 9.5673 -1.9877
-1.0232 -0.7257 8.6594
Tb Dy Tm
1 3 7
Direct
0.5000 0.5000 0.5000 Tb
0.2787 0.9985 0.7790 Dy
0.0000 0.5000 0.0000 Dy
0.7213 0.0015 0.2210 Dy
0.9187 0.8309 0.9187 Tm
0.8530 0.7095 0.3530 Tm
0.6797 0.3592 0.1798 Tm
0.3203 0.6408 0.8202 Tm
0.5000 0.0000 0.5000 Tm
0.1470 0.2905 0.6470 Tm
0.0813 0.1691 0.0813 Tm
```

Calculated values
The distance to the lowest polymorph of the same formula comes out at 0.00 eV per formula unit. Its density is 8.83 Mg/m³. For the formation energy, the calculation gives 162 meV/atom. The calculation puts the final energy at -47.958 eV per cell.